ZnMo2Pb after structural relaxation, computed with PBE.

Lattice parameters (Å, degrees): 4.5723 4.5723 3.3265 90.00 90.00 90.00
Positions (direct):
Zn: 0.0000 0.0000 0.0000
Mo: 0.0000 0.5000 0.5000
Mo: 0.5000 0.0000 0.5000
Pb: 0.5000 0.5000 0.0000

Output
offset from the most stable computed form = 435 meV/atom
electronic total energy = -23.669 eV per formula unit
calculated formation energy = 71.8 kJ per mole of atoms

ZnMoPb2 after structural relaxation, computed with PBE.

Lattice parameters (Å, degrees): 3.7015 3.7015 6.1956 90.00 90.00 90.00
Positions (direct):
Zn: 0.0000 0.0000 0.0000
Mo: 0.0000 0.0000 0.5000
Pb: 0.5000 0.5000 0.2555
Pb: 0.5000 0.5000 0.7445

Output
electronic total energy = -17.429 eV per formula unit
calculated formation energy = 50.5 kJ per mole of atoms

ZnMo3Pb after structural relaxation, computed with PBE.

Lattice parameters (Å, degrees): 5.0098 5.0098 5.0098 90.00 90.00 90.00
Positions (direct):
Zn: 0.0000 0.0000 0.0000
Mo: 0.0000 0.5000 0.5000
Mo: 0.5000 0.0000 0.5000
Mo: 0.5000 0.5000 0.0000
Pb: 0.5000 0.5000 0.5000

Output
offset from the most stable computed form = 1072 meV/atom
electronic total energy = -24.481 eV per formula unit
calculated formation energy = 250.8 kJ per mole of atoms

ZnMo2Pb after structural relaxation, computed with PBE.

Lattice parameters (Å, degrees): 3.1592 3.1592 27.7878 90.00 90.00 120.00
Positions (direct):
Zn: 0.0000 0.0000 0.0000
Zn: 0.3333 0.6667 0.6667
Zn: 0.6667 0.3333 0.3333
Mo: 0.0000 0.0000 0.4735
Mo: 0.0000 0.0000 0.7446
Mo: 0.3333 0.6667 0.1401
Mo: 0.3333 0.6667 0.4112
Mo: 0.6667 0.3333 0.0779
Mo: 0.6667 0.3333 0.8068
Pb: 0.0000 0.0000 0.2372
Pb: 0.3333 0.6667 0.9039
Pb: 0.6667 0.3333 0.5706

Output
offset from the most stable computed form = 86 meV/atom
electronic total energy = -25.064 eV per formula unit
calculated formation energy = 38.1 kJ per mole of atoms

| no. | magnetic moment (μB per cell) |
| --- | --- |
| 1 | 0.000 |
| 2 | 0.000 |
| 3 | 0.000 |
| 4 | 0.000 |